Record 1
VASP calculation (PBE-GGA) on a geometry-optimized Tm3AuS structure.

Geometry as CIF:
```
data_Tm3AuS
_chemical_formula_sum 'Tm12 Au4 S4'
_symmetry_space_group_name_H-M 'P n m a'
_symmetry_Int_Tables_number 62
_cell_length_a 8.7205
_cell_length_b 3.7653
_cell_length_c 14.5509
_cell_angle_alpha 90.00
_cell_angle_beta 90.00
_cell_angle_gamma 90.00
loop_
_symmetry_equiv_pos_as_xyz
'x,y,z'
'-x,-y,-z'
'-x+1/2,-y,z+1/2'
'x+1/2,y,-z+1/2'
'x+1/2,-y+1/2,-z+1/2'
'-x+1/2,y+1/2,z+1/2'
'-x,y+1/2,-z'
'x,-y+1/2,z'
loop_
_atom_site_label
_atom_site_type_symbol
_atom_site_fract_x
_atom_site_fract_y
_atom_site_fract_z
Tm1 Tm 0.0152 0.2500 0.1100
Tm2 Tm 0.1587 0.2500 0.5475
Tm3 Tm 0.1829 0.7500 0.2877
Au1 Au 0.0890 0.7500 0.6935
S1 S 0.1792 0.2500 0.9532
```

Record 2
VASP calculation (PBE-GGA) on a geometry-optimized Tm4AuS3 structure.

Geometry as CIF:
```
data_Tm4AuS3
_chemical_formula_sum 'Tm8 Au2 S6'
_symmetry_space_group_name_H-M 'C m m m'
_symmetry_Int_Tables_number 65
_symmetry_space_group_name_Hall '-C 2 2'
_cell_length_a 8.0537
_cell_length_b 11.1614
_cell_length_c 3.8196
_cell_angle_alpha 90.00
_cell_angle_beta 90.00
_cell_angle_gamma 90.00
loop_
_atom_site_label
_atom_site_type_symbol
_atom_site_fract_x
_atom_site_fract_y
_atom_site_fract_z
Tm1 Tm 0.0000 0.2461 0.0000
Tm2 Tm 0.2432 0.0000 0.5000
Au1 Au 0.0000 0.5000 0.0000
S1 S 0.0000 0.0000 0.0000
S2 S 0.2500 0.2500 0.5000
```

Record 3
VASP calculation (PBE-GGA) on a geometry-optimized Tm5AuS4 structure.

Geometry as CIF:
```
data_Tm5AuS4
_chemical_formula_sum 'Tm10 Au2 S8'
_symmetry_space_group_name_H-M 'C 1 2/m 1'
_symmetry_Int_Tables_number 12
_cell_length_a 13.1525
_cell_length_b 3.8331
_cell_length_c 9.7365
_cell_angle_alpha 90.00
_cell_angle_beta 120.24
_cell_angle_gamma 90.00
loop_
_symmetry_equiv_pos_as_xyz
'x,y,z'
'-x,-y,-z'
'-x,y,-z'
'x,-y,z'
'x+1/2,y+1/2,z'
'-x+1/2,-y+1/2,-z'
'-x+1/2,y+1/2,-z'
'x+1/2,-y+1/2,z'
loop_
_atom_site_label
_atom_site_type_symbol
_atom_site_fract_x
_atom_site_fract_y
_atom_site_fract_z
Tm1 Tm 0.0000 0.0000 0.0000
Tm2 Tm 0.1051 0.5000 0.3958
Tm3 Tm 0.2003 0.0000 0.8053
Au1 Au 0.0000 0.0000 0.5000
S1 S 0.1008 0.5000 0.9060
S2 S 0.1999 0.0000 0.2927
```

| no. | DOS(E_F) (states/eV/cell) | total energy (eV/cell) | formation energy (no corrections) (meV/atom) |
| --- | --- | --- | --- |
| 1 | 8.91 | -106.505 | -1161 |
| 2 | 8.84 | -92.967 | -1617 |
| 3 | 9.22 | -118.158 | -1693 |